(1)
Crystalline BaCo3P at its relaxed geometry, computed with PBE-GGA.

* ΔE to the lowest computed polymorph: 0 kJ/mol of formula units
* space group: No. 221
* E_form: 135 meV per atom
* V: 17.78 Å³ per atom
* spin magnetization: 4.0 μB per formula unit

a b c (Å): 4.463 4.463 4.463
angles (deg): 90.00 90.00 90.00
Last column: magnetic moment on the atom in μB.
Atoms (fractional coordinates):
Co  0.500  0.000  0.000  1.63
Co  0.000  0.000  0.500  1.28
Co  0.000  0.500  0.000  1.42
P  0.000  0.000  0.000  0.04
Ba  0.500  0.500  0.500  -0.11

---

(2)
Crystalline BaCoP at its relaxed geometry, computed with PBE-GGA.

* space group: No. 129
* E_form: -764 meV per atom
* V: 24.87 Å³ per atom
* spin magnetization: 0.5 μB per formula unit

a b c (Å): 3.887 3.887 9.879
angles (deg): 90.00 90.00 90.00
Last column: magnetic moment on the atom in μB.
Atoms (fractional coordinates):
P  0.000  0.500  0.386  0.00
P  0.500  0.000  0.614  0.00
Ba  0.500  0.000  0.214  0.00
Ba  0.000  0.500  0.786  0.00
Co  0.000  0.000  0.500  0.52
Co  0.500  0.500  0.500  0.52

---

(3)
Crystalline BaCoPPb2 at its relaxed geometry, computed with PBE-GGA.

* space group: No. 123
* E_form: 610 meV per atom
* V: 35.36 Å³ per atom
* spin magnetization: 2.0 μB per formula unit

a b c (Å): 5.417 6.025 5.417
angles (deg): 90.00 90.00 90.00
Last column: magnetic moment on the atom in μB.
Atoms (fractional coordinates):
Pb  0.000  0.000  0.500  -0.01
Pb  0.500  0.000  0.000  -0.02
Co  0.500  0.500  0.500  2.10
P  0.000  0.000  0.000  -0.01
Ba  0.000  0.500  0.000  -0.02

---

(4)
Crystalline BaCoPPb at its relaxed geometry, computed with PBE-GGA.

* space group: No. 129
* E_form: -495 meV per atom
* V: 25.82 Å³ per atom
* spin magnetization: 1.0 μB per formula unit

a b c (Å): 4.172 4.172 11.869
angles (deg): 90.00 90.00 90.00
Last column: magnetic moment on the atom in μB.
Atoms (fractional coordinates):
P  0.250  0.250  0.085  0.02
P  0.750  0.750  0.915  0.02
Ba  0.750  0.750  0.223  0.02
Ba  0.250  0.250  0.777  0.02
Co  0.750  0.250  0.000  0.87
Co  0.250  0.750  0.000  0.87
Pb  0.750  0.250  0.500  0.01
Pb  0.250  0.750  0.500  0.01

---

(5)
Crystalline BaCoPPd2 at its relaxed geometry, computed with PBE-GGA.

* space group: No. 123
* E_form: 1755 meV per atom
* V: 27.59 Å³ per atom
* spin magnetization: 1.8 μB per formula unit

a b c (Å): 5.268 4.970 5.268
angles (deg): 90.00 90.00 90.00
Last column: magnetic moment on the atom in μB.
Atoms (fractional coordinates):
Co  0.000  0.500  0.000  1.46
Pd  0.500  0.000  0.000  0.03
Pd  0.000  0.000  0.500  0.02
Ba  0.000  0.000  0.000  -0.08
P  0.500  0.500  0.500  0.22

---

(6)
Crystalline BaCoP2Rh at its relaxed geometry, computed with PBE-GGA.

* space group: No. 119
* E_form: -865 meV per atom
* V: 19.20 Å³ per atom
* spin magnetization: 0.4 μB per formula unit

a b c (Å): 3.900 3.900 6.887
angles (deg): 106.45 106.45 90.00
Last column: magnetic moment on the atom in μB.
Atoms (fractional coordinates):
Ba  0.000  0.000  0.000  0.01
Rh  0.750  0.250  0.500  0.06
Co  0.250  0.750  0.500  0.36
P  0.347  0.347  0.693  0.00
P  0.653  0.653  0.307  0.00

---

(7)
Crystalline BaCoP2S at its relaxed geometry, computed with PBE-GGA.

* ΔE to the lowest computed polymorph: 257 kJ/mol of formula units
* space group: No. 123
* V: 21.59 Å³ per atom
* spin magnetization: 1.5 μB per formula unit
* uncorrected formation energy: 0.140 eV per atom

a b c (Å): 5.073 4.195 5.073
angles (deg): 90.00 90.00 90.00
Last column: magnetic moment on the atom in μB.
Atoms (fractional coordinates):
S  0.000  0.000  0.000  0.03
P  0.000  0.000  0.500  0.06
P  0.500  0.000  0.000  0.06
Co  0.000  0.500  0.000  1.25
Ba  0.500  0.500  0.500  0.00

---

(8)
Crystalline BaCoP2S at its relaxed geometry, computed with PBE-GGA.

* ΔE to the lowest computed polymorph: 0 kJ/mol of formula units
* space group: No. 123
* V: 20.86 Å³ per atom
* spin magnetization: 0.0 μB per formula unit
* uncorrected formation energy: -0.392 eV per atom

a b c (Å): 4.396 4.396 5.398
angles (deg): 90.00 90.00 90.00
Atoms (fractional coordinates):
P  0.000  0.500  0.000
P  0.500  0.000  0.000
Co  0.000  0.000  0.000
Ba  0.500  0.500  0.500
S  0.000  0.000  0.500